No. 1
# TbDy2Si

A geometry-optimized TbDy2Si structure (PBE-GGA, Alexandria).

```
data_TbDy2Si
_chemical_formula_sum 'Tb3 Dy6 Si3'
_space_group_name_H-M_alt 'R -3 m'
_space_group_IT_number 166
_space_group_name_Hall '-R 3 2"'
_cell_length_a 3.5628
_cell_length_b 3.5628
_cell_length_c 32.4560
_cell_angle_alpha 90.00
_cell_angle_beta 90.00
_cell_angle_gamma 120.00
loop_
_atom_site_label
_atom_site_type_symbol
_atom_site_fract_x
_atom_site_fract_y
_atom_site_fract_z
Tb1 Tb 0.0000 0.0000 0.0000
Dy1 Dy 0.0000 0.0000 0.1066
Si1 Si 0.0000 0.0000 0.5000
```

Properties
The calculation puts the polymorph energy (0 for the lowest one) at 0.2824 eV per atom. As for the crystal system: trigonal. For the calculated volume, the calculation gives 29.73 Å³ per atom. The value obtained for the magnetization is 0.1330 μB per atom. The total energy comes out at -57.5 eV for the cell shown.



No. 2
# BePSO2

A geometry-optimized BePSO2 structure (PBE-GGA, Alexandria).

```
data_BePSO2
_chemical_formula_sum 'Be1 P1 S1 O2'
_space_group_name_H-M_alt 'P 4/m m m'
_space_group_IT_number 123
_space_group_name_Hall '-P 4 2'
_cell_length_a 3.468
_cell_length_b 3.468
_cell_length_c 4.779
_cell_angle_alpha 90.00
_cell_angle_beta 90.00
_cell_angle_gamma 90.00
loop_
_atom_site_label
_atom_site_type_symbol
_atom_site_fract_x
_atom_site_fract_y
_atom_site_fract_z
Be1 Be 0.000 0.000 0.000
P1 P 0.500 0.500 0.000
S1 S 0.500 0.500 0.500
O1 O 0.000 0.500 0.500
```

Properties
As for the crystal system: tetragonal. For the calculated volume, the calculation gives 11.50 Å³ per atom. The value obtained for the magnetization is 0.0000 μB per atom. The total energy comes out at -21.7 eV for the cell shown.



No. 3
# Co2CuOs

A geometry-optimized Co2CuOs structure (PBE-GGA, Alexandria).

```
data_Co2CuOs
_chemical_formula_sum 'Co8 Cu4 Os4'
_space_group_name_H-M_alt 'F m -3 m'
_space_group_IT_number 225
_space_group_name_Hall '-F 4 2 3'
_cell_length_a 5.789
_cell_length_b 5.789
_cell_length_c 5.789
_cell_angle_alpha 90.00
_cell_angle_beta 90.00
_cell_angle_gamma 90.00
loop_
_atom_site_label
_atom_site_type_symbol
_atom_site_fract_x
_atom_site_fract_y
_atom_site_fract_z
Co1 Co 0.250 0.250 0.250
Cu1 Cu 0.000 0.000 0.000
Os1 Os 0.000 0.000 0.500
```

Properties
The calculation puts the formation energy from the elements at 322 meV per atom. The calculation puts the polymorph energy (0 for the lowest one) at 0.1650 eV per atom. As for the crystal system: cubic. For the calculated volume, the calculation gives 12.13 Å³ per atom. The value obtained for the magnetization is 0.8215 μB per atom. The total energy comes out at -113.0 eV for the cell shown.



No. 4
# LiReRh2

A geometry-optimized LiReRh2 structure (PBE-GGA, Alexandria).

```
data_LiReRh2
_chemical_formula_sum 'Li3 Re3 Rh6'
_space_group_name_H-M_alt 'R 3 m'
_space_group_IT_number 160
_space_group_name_Hall 'R 3 -2"'
_cell_length_a 2.7286
_cell_length_b 2.7286
_cell_length_c 27.0203
_cell_angle_alpha 90.00
_cell_angle_beta 90.00
_cell_angle_gamma 120.00
loop_
_atom_site_label
_atom_site_type_symbol
_atom_site_fract_x
_atom_site_fract_y
_atom_site_fract_z
Li1 Li 0.0000 0.0000 0.0000
Re1 Re 0.0000 0.0000 0.7582
Rh1 Rh 0.0000 0.0000 0.2542
Rh2 Rh 0.0000 0.0000 0.5018
```

Properties
The calculation puts the formation energy from the elements at 64 meV per atom. As for the crystal system: trigonal. For the calculated volume, the calculation gives 14.52 Å³ per atom. The value obtained for the magnetization is 0.0554 μB per atom. The total energy comes out at -86.4 eV for the cell shown.



No. 5
# BaLa2Si

A geometry-optimized BaLa2Si structure (PBE-GGA, Alexandria).

```
data_BaLa2Si
_chemical_formula_sum 'Ba2 La4 Si2'
_space_group_name_H-M_alt 'I -4 m 2'
_space_group_IT_number 119
_space_group_name_Hall 'I -4 -2'
_cell_length_a 4.865
_cell_length_b 4.865
_cell_length_c 10.562
_cell_angle_alpha 90.00
_cell_angle_beta 90.00
_cell_angle_gamma 90.00
loop_
_atom_site_label
_atom_site_type_symbol
_atom_site_fract_x
_atom_site_fract_y
_atom_site_fract_z
Ba1 Ba 0.000 0.000 0.000
La1 La 0.000 0.000 0.500
La2 La 0.000 0.500 0.750
Si1 Si 0.000 0.500 0.250
```

Properties
As for the crystal system: tetragonal. For the calculated volume, the calculation gives 31.25 Å³ per atom. The value obtained for the magnetization is 0.0000 μB per atom. The total energy comes out at -34.6 eV for the cell shown.



No. 6
# Sc2TaRe

A geometry-optimized Sc2TaRe structure (PBE-GGA, Alexandria).

```
data_Sc2TaRe
_chemical_formula_sum 'Sc4 Ta2 Re2'
_space_group_name_H-M_alt 'I m m m'
_space_group_IT_number 71
_space_group_name_Hall '-I 2 2'
_cell_length_a 3.327
_cell_length_b 4.558
_cell_length_c 9.921
_cell_angle_alpha 90.00
_cell_angle_beta 90.00
_cell_angle_gamma 90.00
loop_
_atom_site_label
_atom_site_type_symbol
_atom_site_fract_x
_atom_site_fract_y
_atom_site_fract_z
Sc1 Sc 0.000 0.000 0.220
Ta1 Ta 0.000 0.500 0.000
Re1 Re 0.000 0.500 0.500
```

Properties
The calculation puts the formation energy from the elements at -34 meV per atom. The calculation puts the polymorph energy (0 for the lowest one) at 0.0779 eV per atom. As for the crystal system: orthorhombic. For the calculated volume, the calculation gives 18.80 Å³ per atom. The value obtained for the magnetization is 0.0000 μB per atom. The total energy comes out at -74.2 eV for the cell shown.